Entry 1:
An optimized crystal structure of LiHfAgSe3, computed with PBE.

Excess energy over the best structure of this formula in the dataset (eV/f.u.): 0.48
Raw total energy (eV per cell): -122.1
V (A^3/atom): 21.94

Cell: 3.8277 13.1423 10.4676 Å, 90.00 90.00 90.00°
Closest atoms and distances in Å follow each position.
Space group Cmcm (No. 63)
Unique sites:
Li1 0.0000 0.2495 0.2500 x4  2 Se 2.78
Hf1 0.0000 0.5000 0.0000 x4  6 Se 2.70-2.90
Ag1 0.0000 0.0431 0.7500 x4  4 Se 2.54-2.64
Se1 0.0000 0.1410 0.5406 x8  1 Ag 2.54, 2 Hf 2.70
Se2 0.0000 0.4042 0.7500 x4  2 Ag 2.64, 2 Li 2.78, 2 Hf 2.90


Entry 2:
An optimized crystal structure of LiHfAgSe3, computed with PBE.

Excess energy over the best structure of this formula in the dataset (eV/f.u.): 0.02
Raw total energy (eV per cell): -123.9
V (A^3/atom): 22.47

Cell: 12.8849 3.8470 10.8815 Å, 90.00 90.00 90.00°
Closest atoms and distances in Å follow each position.
Space group Pnma (No. 62)
Unique sites:
Li1 0.2383 0.2500 0.0234 x4  5 Se 2.66-2.86
Hf1 0.0042 0.2500 0.6703 x4  6 Se 2.65-2.85
Ag1 0.0238 0.7500 0.9109 x4  4 Se 2.55-2.78, 2 Ag 2.80
Se1 0.1125 0.2500 0.4420 x4  3 Hf 2.73-2.85, 2 Li 2.86
Se2 0.1224 0.7500 0.1380 x4  1 Hf 2.65, 2 Li 2.74, 3 Ag 2.74-2.78
Se3 0.1420 0.7500 0.7227 x4  1 Ag 2.55, 1 Li 2.66, 2 Hf 2.68


Entry 3:
An optimized crystal structure of LiHfAgTeSe2, computed with PBE.

Raw total energy (eV per cell): -118.7
V (A^3/atom): 23.29

Cell: 3.8422 13.5353 10.7478 Å, 90.00 90.00 90.00°
Closest atoms and distances in Å follow each position.
Space group Cmcm (No. 63)
Unique sites:
Li1 0.0000 0.2032 0.2500 x4  2 Ag 3.02, 4 Se 3.02, 2 Te 3.12
Hf1 0.0000 0.0000 0.0000 x4  4 Se 2.71
Ag1 0.0000 0.4686 0.7500 x4  2 Se 2.57, 2 Te 2.76
Te1 0.0000 0.1150 0.7500 x4  2 Ag 2.76
Se1 0.0000 0.3644 0.5503 x8  1 Ag 2.57, 2 Hf 2.71